First-principles (PBE-GGA) data for a geometry-optimized La2ScSe structure, as listed in Alexandria via LeMat-Bulk.

Values from the calculation:
The calculation puts the total energy at -5.367 eV/atom. As for the symmetry: Pmmm, No. 47. For the formation energy from raw total energies, the calculation gives -449 meV/atom.

Lattice parameters (Å, degrees): 3.759 5.260 5.428 90.00 90.00 90.00
Fractional coordinates of all 4 atoms:
La1 0.000 0.000 0.000
La2 0.500 0.000 0.500
Sc1 0.000 0.500 0.500
Se1 0.500 0.500 0.000